Computed, not measured: a geometry-optimized ScTaBe2 structure at the PBE level of DFT.

abc: 7.4891 3.0509 5.6111
angles: 90.00 102.24 90.00
With the nearest neighbours (Å) after each atom.
Space group C2/m (No. 12)
Unique sites:
Sc1 0.0000 0.0000 0.0000 (multiplicity 2)  6 Be 2.67
Ta1 0.0000 0.5000 0.5000 (multiplicity 2)  6 Be 2.47-2.51
Be1 0.2469 0.0000 0.7208 (multiplicity 4)  3 Ta 2.47-2.51, 3 Sc 2.67

Computed properties:
V ... 15.7 Å³ per atom
Formation energy ... 0.35 eV per atom
Energy above the lowest structure with this stoichiometry ... 0.349 eV/atom
E ... -48.504 eV/cell

=====

Computed, not measured: a geometry-optimized BeSnSbO6 structure at the PBE level of DFT.

abc: 5.0012 5.0012 8.8429
angles: 90.00 90.00 120.00
With the nearest neighbours (Å) after each atom.
Space group P-31c (No. 163)
Unique sites:
Be1 0.3333 0.6667 0.2500 (multiplicity 2)  6 O 1.86
Sn1 0.0000 0.0000 0.0000 (multiplicity 2)  6 O 2.11
Sb1 0.3333 0.6667 0.7500 (multiplicity 2)  6 O 2.00
O1 0.0216 0.3598 0.1331 (multiplicity 12)  1 Be 1.86, 1 Sb 2.00

Computed properties:
V ... 10.6 Å³ per atom
E_form (uncorrected) ... -1.45 eV/atom
E ... -109.221 eV/cell

=====

Computed, not measured: a geometry-optimized HfPaSe2N structure at the PBE level of DFT.

abc: 3.7860 3.7860 13.3882
angles: 90.00 90.00 90.00
With the nearest neighbours (Å) after each atom.
Space group P4/nmm (No. 129, origin choice 2)
Unique sites:
Hf1 0.2500 0.2500 0.0783 (multiplicity 2)  6 Se 2.76-2.89
Pa1 0.2500 0.2500 0.5935 (multiplicity 2)  4 N 2.27
Se1 0.2500 0.2500 0.2944 (multiplicity 2)  1 Hf 2.89, 4 Pa 3.07
Se2 0.2500 0.2500 0.8716 (multiplicity 2)  5 Hf 2.76-2.77
N1 0.2500 0.7500 0.5000 (multiplicity 2)  4 Pa 2.27

Computed properties:
V ... 19.2 Å³ per atom
E_form (uncorrected) ... -1.50 eV/atom
E ... -84.439 eV/cell

=====

Computed, not measured: a geometry-optimized SbOsW2 structure at the PBE level of DFT.

abc: 3.1766 3.1766 6.7631
angles: 90.00 90.00 90.00
With the nearest neighbours (Å) after each atom.
Space group P4mm (No. 99)
Unique sites:
Sb1 0.0000 0.0000 0.0000 (multiplicity 1)  4 W 2.88, 4 Os 2.91, 4 Sb 3.18
Os1 0.5000 0.5000 0.7261 (multiplicity 1)  4 W 2.72, 4 Sb 2.91
W1 0.0000 0.0000 0.4985 (multiplicity 1)  4 Os 2.72, 4 W 2.74
W2 0.5000 0.5000 0.2664 (multiplicity 1)  4 W 2.74, 4 Sb 2.88

Computed properties:
V ... 17.1 Å³ per atom
E_form (uncorrected) ... 0.46 eV/atom
E ... -39.407 eV/cell